Below is RbTlPb after structural relaxation, with properties calculated at the GGA-PBE level.

SG: C2 (5)
DFT formation energy: -0.119 eV per atom

Cell and atoms, written as extended XYZ:
```
6
Lattice="9.154 0.000 -0.064 4.559 4.515 -2.825 -4.559 4.515 2.825" Properties=species:S:1:pos:R:3 pbc="T T T"
Pb 6.156 7.050 -0.047
Tl 1.556 4.164 -0.017
Rb 4.577 1.699 -0.032
Tl 7.599 4.164 -0.047
Rb 0.000 0.470 0.000
Pb 2.998 7.050 -0.017
```



Below is Na2TeI6 after structural relaxation, with properties calculated at the GGA-PBE level.

Polymorph energy (0 for the lowest one): 0.0 kJ per mole of atoms
SG: P2_1/c (14)

Cell and atoms, written as extended XYZ:
```
18
Lattice="7.742 0.000 -0.544 0.000 8.171 0.000 0.262 0.000 11.610" Properties=species:S:1:pos:R:3 pbc="T T T"
I 1.284 0.401 8.525
I 1.500 2.480 4.874
Na 7.711 3.312 8.650
I 5.024 3.684 2.448
Te 0.131 0.000 5.805
Te 3.871 4.085 -0.272
I 6.503 5.699 10.529
I 5.503 1.613 6.070
I 5.502 1.605 10.407
I 6.720 7.769 2.541
Na 0.293 4.859 2.416
I 1.501 2.472 0.537
Na 4.295 7.397 7.949
I 2.503 6.566 0.658
I 2.980 4.486 8.618
I 2.501 6.557 4.996
I 6.505 5.690 6.191
Na 3.709 0.773 3.117
```



Below is NiBi2Pb2 after structural relaxation, with properties calculated at the GGA-PBE level.

Polymorph energy (0 for the lowest one): 0.0 kJ per mole of atoms
SG: P4/mbm (127)
DFT formation energy: 0.167 eV per atom

Cell and atoms, written as extended XYZ:
```
10
Lattice="-0.155 4.602 5.234 -6.854 -1.047 0.718 1.068 -4.347 3.853" Properties=species:S:1:pos:R:3 pbc="T T T"
Pb -4.158 -2.055 3.360
Ni 0.000 0.000 0.000
Pb -0.753 -0.892 3.729
Pb -5.188 0.100 6.077
Bi -2.365 0.372 1.075
Ni -3.504 1.777 2.976
Bi -5.820 0.690 2.391
Bi -4.644 3.182 4.877
Pb -1.783 1.263 6.445
Bi -1.189 2.865 3.561
```



Below is Ba2LiGe3Au4 after structural relaxation, with properties calculated at the GGA-PBE level.

SG: P-4m2 (115)
DFT formation energy: -0.557 eV per atom

Cell and atoms, written as extended XYZ:
```
10
Lattice="4.698 0.000 0.000 0.000 4.698 0.000 0.000 0.000 10.526" Properties=species:S:1:pos:R:3 pbc="T T T"
Ba 0.000 2.349 7.920
Ge 0.000 0.000 5.263
Au 0.000 0.000 0.000
Au 0.000 2.349 4.008
Au 2.349 2.349 0.000
Li 2.349 2.349 5.263
Ge 0.000 2.349 1.340
Ba 2.349 0.000 2.606
Ge 2.349 0.000 9.187
Au 2.349 0.000 6.519
```



Below is NaTeMoN2 after structural relaxation, with properties calculated at the GGA-PBE level.

Polymorph energy (0 for the lowest one): 221.8 kJ per mole of atoms
SG: P4/mmm (123)

Cell and atoms, written as extended XYZ:
```
5
Lattice="-3.452 1.768 -1.263 -1.461 -3.643 -1.106 -2.033 -0.612 4.701" Properties=species:S:1:pos:R:3 pbc="T T T"
N -1.726 0.884 -0.631
Te -1.017 -0.306 2.350
Na 0.000 0.000 0.000
Mo -3.473 -1.244 1.166
N -0.731 -1.822 -0.553
```



Below is MnHRu2W after structural relaxation, with properties calculated at the GGA-PBE level.

SG: P4/mmm (123)

Cell and atoms, written as extended XYZ:
```
5
Lattice="3.890 0.000 0.000 0.000 3.890 0.000 0.000 0.000 3.801" Properties=species:S:1:pos:R:3 pbc="T T T"
W 1.945 1.945 1.901
Ru 0.000 1.945 0.000
Ru 1.945 0.000 0.000
H 0.000 0.000 0.000
Mn 0.000 0.000 1.901
```



Number 1: total moment 0.00 μB/cell, uncorrected energy -2.47 eV/atom. Number 2: total moment 0.00 μB/cell, uncorrected energy -2.28 eV/atom. Number 3: total moment 0.00 μB/cell, uncorrected energy -4.03 eV/atom. Number 4: total moment 0.00 μB/cell, uncorrected energy -3.83 eV/atom. Number 5: total moment 0.00 μB/cell, uncorrected energy -3.86 eV/atom. Number 6: total moment 1.44 μB/cell, uncorrected energy -8.82 eV/atom.